Here is a geometry-optimized Mn3TeH structure from Alexandria via LeMat-Bulk. Energies are from GGA-PBEsol.

Computed properties:
Total DFT energy (no corrections) in eV per formula unit: -27.7
N(E_F) in states/eV per atom: 1.097
Magnetization in Bohr magnetons per cell: 12.006

Unit cell a=4.9523 b=4.9523 c=4.9523 alpha=90.00 beta=90.00 gamma=90.00
With the nearest neighbours (Å) after each atom.
Sites, in units of the cell vectors:
Mn (0.0000, 0.0000, 0.5000)  2 Te 2.48
Mn (0.0000, 0.5000, 0.0000)  2 Te 2.48
Mn (0.5000, 0.0000, 0.0000)  2 Te 2.48
Te (0.0000, 0.0000, 0.0000)  6 Mn 2.48
H (0.5000, 0.5000, 0.5000)  12 Mn 3.50